1.
Density functional theory data (PBE) for a geometry-optimized Nd2SmGe7 structure.

Raw total energy   -5.195 eV per atom
M_tot   0.0 Bohr magnetons per cell
Symmetry   Cmmm, No. 65

a = 13.247 Å, b = 13.247 Å, c = 4.181 Å
α = 90.00°, β = 90.00°, γ = 162.51°
Positions (direct):
Nd 0.183 0.817 0.000
Nd 0.817 0.183 0.000
Sm 0.500 0.500 0.500
Ge 0.000 0.000 0.000
Ge 0.093 0.907 0.500
Ge 0.280 0.720 0.500
Ge 0.410 0.590 0.000
Ge 0.590 0.410 0.000
Ge 0.720 0.280 0.500
Ge 0.907 0.093 0.500

2.
Density functional theory data (PBE) for a geometry-optimized NdSmZn2Ge2 structure.

Raw total energy   -4.236 eV per atom
M_tot   0.0 Bohr magnetons per cell
Symmetry   P6_3/mmc, No. 194

a = 4.270 Å, b = 4.270 Å, c = 16.452 Å
α = 90.00°, β = 90.00°, γ = 120.00°
Positions (direct):
Nd 0.000 0.000 0.000
Nd 0.000 0.000 0.500
Sm 0.000 0.000 0.250
Sm 0.000 0.000 0.750
Zn 0.333 0.667 0.142
Zn 0.333 0.667 0.358
Zn 0.667 0.333 0.642
Zn 0.667 0.333 0.858
Ge 0.333 0.667 0.616
Ge 0.333 0.667 0.884
Ge 0.667 0.333 0.116
Ge 0.667 0.333 0.384

3.
Density functional theory data (PBE) for a geometry-optimized NdSnGe structure.

Raw total energy   -4.555 eV per atom
M_tot   0.0 Bohr magnetons per cell
Symmetry   F-43m, No. 216

a = 5.075 Å, b = 5.075 Å, c = 5.075 Å
α = 60.00°, β = 60.00°, γ = 60.00°
Positions (direct):
Nd 0.000 0.000 0.000
Sn 0.250 0.250 0.250
Ge 0.750 0.750 0.750

4.
Density functional theory data (PBE) for a geometry-optimized NdSnGe structure.

Raw total energy   -4.752 eV per atom
M_tot   0.0 Bohr magnetons per cell
Symmetry   F-43m, No. 216

a = 4.956 Å, b = 4.956 Å, c = 4.956 Å
α = 60.00°, β = 60.00°, γ = 60.00°
Positions (direct):
Nd 0.000 0.000 0.000
Sn 0.500 0.500 0.500
Ge 0.250 0.250 0.250

5.
Density functional theory data (PBE) for a geometry-optimized Nd5SnGe2 structure.

Raw total energy   -5.343 eV per atom
M_tot   1.9 Bohr magnetons per cell
Symmetry   I4/mcm, No. 140

a = 9.135 Å, b = 9.135 Å, c = 9.135 Å
α = 127.52°, β = 127.52°, γ = 77.41°
Positions (direct):
Nd 0.000 0.000 0.000
Nd 0.023 0.523 0.830
Nd 0.194 0.023 0.500
Nd 0.306 0.806 0.830
Nd 0.477 0.306 0.500
Nd 0.500 0.500 0.000
Nd 0.523 0.694 0.500
Nd 0.694 0.194 0.170
Nd 0.806 0.977 0.500
Nd 0.977 0.477 0.170
Sn 0.250 0.250 0.000
Sn 0.750 0.750 0.000
Ge 0.136 0.364 0.500
Ge 0.364 0.864 0.229
Ge 0.636 0.136 0.771
Ge 0.864 0.636 0.500

6.
Density functional theory data (PBE) for a geometry-optimized Nd2SnGe2 structure.

Raw total energy   -5.320 eV per atom
M_tot   0.0 Bohr magnetons per cell
Symmetry   Immm, No. 71

a = 5.915 Å, b = 5.915 Å, c = 5.915 Å
α = 136.47°, β = 113.60°, γ = 82.80°
Positions (direct):
Nd 0.218 0.218 0.000
Nd 0.782 0.782 0.000
Sn 0.500 0.000 0.500
Ge 0.197 0.500 0.697
Ge 0.803 0.500 0.303

7.
Density functional theory data (PBE) for a geometry-optimized Nd3Sn4Ge4 structure.

Raw total energy   -4.766 eV per atom
M_tot   0.0 Bohr magnetons per cell
Symmetry   Immm, No. 71

a = 9.347 Å, b = 9.347 Å, c = 9.347 Å
α = 151.23°, β = 132.61°, γ = 56.39°
Positions (direct):
Nd 0.000 0.000 0.000
Nd 0.372 0.872 0.500
Nd 0.628 0.128 0.500
Sn 0.215 0.215 0.000
Sn 0.307 0.500 0.807
Sn 0.693 0.500 0.193
Sn 0.785 0.785 0.000
Ge 0.029 0.342 0.687
Ge 0.346 0.658 0.687
Ge 0.654 0.342 0.313
Ge 0.971 0.658 0.313

8.
Density functional theory data (PBE) for a geometry-optimized SrNdGe structure.

Raw total energy   -4.121 eV per atom
M_tot   0.0 Bohr magnetons per cell
Symmetry   F-43m, No. 216

a = 5.209 Å, b = 5.209 Å, c = 5.209 Å
α = 60.00°, β = 60.00°, γ = 60.00°
Positions (direct):
Sr 0.000 0.000 0.000
Nd 0.500 0.500 0.500
Ge 0.750 0.750 0.750